Here is TiBe2IF after structural relaxation from the Alexandria database. Energies are from PBEsol.

Calculated values
Space-group type   P4/mmm, No. 123
Magnetization   1.1 μB/cell
Uncorrected energy   -3.745 eV per atom
Formation energy from raw total energies   0.258 eV/atom

Unit cell a=3.9346 b=3.9346 c=4.7047 alpha=90.00 beta=90.00 gamma=90.00
Fractional positions:
Ti  0.0000  0.0000  0.0000
Be  0.0000  0.5000  0.5000
Be  0.5000  0.0000  0.5000
I  0.5000  0.5000  0.0000
F  0.0000  0.0000  0.5000

Here is BeInF3 after structural relaxation from the Alexandria database. Energies are from PBEsol.

Calculated values
Space-group type   Pm-3m, No. 221
Magnetization   0.0 μB/cell
Uncorrected energy   -3.791 eV per atom
Formation energy from raw total energies   -1.238 eV/atom

Unit cell a=4.2518 b=4.2518 c=4.2518 alpha=90.00 beta=90.00 gamma=90.00
Fractional positions:
Be  0.0000  0.0000  0.0000
In  0.5000  0.5000  0.5000
F  0.0000  0.5000  0.5000
F  0.5000  0.0000  0.5000
F  0.5000  0.5000  0.0000

Here is BeInPd2F after structural relaxation from the Alexandria database. Energies are from PBEsol.

Calculated values
Space-group type   P4/mmm, No. 123
Magnetization   0.0 μB/cell
Uncorrected energy   -3.774 eV per atom
Formation energy from raw total energies   0.392 eV/atom

Unit cell a=4.9396 b=4.9396 c=4.1351 alpha=90.00 beta=90.00 gamma=90.00
Fractional positions:
Be  0.0000  0.0000  0.0000
In  0.5000  0.5000  0.5000
Pd  0.0000  0.5000  0.5000
Pd  0.5000  0.0000  0.5000
F  0.5000  0.5000  0.0000

Here is Be2IrF after structural relaxation from the Alexandria database. Energies are from PBEsol.

Calculated values
Space-group type   Fm-3m, No. 225
Magnetization   0.0 μB/cell
Uncorrected energy   -4.896 eV per atom
Formation energy from raw total energies   0.042 eV/atom

Unit cell a=3.9149 b=3.9149 c=3.9149 alpha=60.00 beta=60.00 gamma=60.00
Fractional positions:
Be  0.2500  0.2500  0.2500
Be  0.7500  0.7500  0.7500
Ir  0.0000  0.0000  0.0000
F  0.5000  0.5000  0.5000

Here is BeIrO2F after structural relaxation from the Alexandria database. Energies are from PBEsol.

Calculated values
Space-group type   P4/mmm, No. 123
Magnetization   0.0 μB/cell
Uncorrected energy   -5.960 eV per atom
Formation energy from raw total energies   -0.710 eV/atom

Unit cell a=3.7782 b=3.7782 c=2.9429 alpha=90.00 beta=90.00 gamma=90.00
Fractional positions:
Be  0.0000  0.0000  0.0000
Ir  0.5000  0.5000  0.5000
O  0.0000  0.5000  0.0000
O  0.5000  0.0000  0.0000
F  0.0000  0.0000  0.5000

Here is BeIr2PtF after structural relaxation from the Alexandria database. Energies are from PBEsol.

Calculated values
Space-group type   P4/mmm, No. 123
Magnetization   0.0 μB/cell
Uncorrected energy   -6.178 eV per atom
Formation energy from raw total energies   0.329 eV/atom

Unit cell a=4.7349 b=4.7349 c=2.8582 alpha=90.00 beta=90.00 gamma=90.00
Fractional positions:
Be  0.0000  0.0000  0.0000
Ir  0.0000  0.5000  0.5000
Ir  0.5000  0.0000  0.5000
Pt  0.5000  0.5000  0.0000
F  0.0000  0.0000  0.5000

Here is BeIr2WF after structural relaxation from the Alexandria database. Energies are from PBEsol.

Calculated values
Space-group type   P4/mmm, No. 123
Magnetization   0.0 μB/cell
Uncorrected energy   -7.631 eV per atom
Formation energy from raw total energies   0.245 eV/atom

Unit cell a=4.7547 b=4.7547 c=2.8623 alpha=90.00 beta=90.00 gamma=90.00
Fractional positions:
Be  0.0000  0.0000  0.0000
Ir  0.0000  0.5000  0.5000
Ir  0.5000  0.0000  0.5000
W  0.5000  0.5000  0.0000
F  0.0000  0.0000  0.5000

Here is KBe3F after structural relaxation from the Alexandria database. Energies are from PBEsol.

Calculated values
Space-group type   Pm-3m, No. 221
Magnetization   0.0 μB/cell
Uncorrected energy   -2.166 eV per atom
Formation energy from raw total energies   0.847 eV/atom

Unit cell a=4.4186 b=4.4186 c=4.4186 alpha=90.00 beta=90.00 gamma=90.00
Fractional positions:
K  0.0000  0.0000  0.0000
Be  0.0000  0.5000  0.5000
Be  0.5000  0.0000  0.5000
Be  0.5000  0.5000  0.0000
F  0.5000  0.5000  0.5000